SrCuGeO2 (PBE, optimized geometry); formation energy without anion corrections = -0.90 eV/atom; final energy = -4.961 eV/atom
1.0
4.194 0.000 0.000
0.000 4.459 0.000
0.000 0.000 4.194
O Ge Cu Sr
2 1 1 1
direct
0.000 0.000 0.500
0.500 0.000 0.000
0.000 0.000 0.000
0.000 0.500 0.000
0.500 0.500 0.500

ReHgCl (PBE, optimized geometry); formation energy without anion corrections = 0.59 eV/atom; ΔE to the lowest computed polymorph = 0.089 eV per formula unit; final energy = -4.271 eV/atom
1.0
8.756 0.042 -0.024
7.944 2.947 -0.015
0.812 -1.460 2.512
Cl Hg Re
1 1 1
direct
0.041 0.041 0.959
0.306 0.306 0.694
0.653 0.653 0.347

CeNdSb2 (PBE, optimized geometry); formation energy without anion corrections = -1.00 eV/atom; ΔE to the lowest computed polymorph = 0.476 eV per formula unit; final energy = -5.739 eV/atom
1.0
4.467 0.000 0.000
2.233 3.868 0.000
2.233 1.289 7.680
Ce Sb Nd
1 2 1
direct
0.669 0.669 0.992
0.252 0.252 0.244
0.081 0.081 0.756
0.497 0.497 0.508

NaPm2Gd (PBE, optimized geometry); energy relative to the elements = 0.1116 eV/atom; ΔE to the lowest computed polymorph = 0.000 eV per formula unit; final energy = -6.114 eV/atom
1.0
3.546 0.000 0.000
0.000 3.546 0.000
0.000 0.000 10.896
Na Pm Gd
1 2 1
direct
0.500 0.500 0.500
0.000 0.000 0.766
0.000 0.000 0.234
0.500 0.500 0.000

The highest final energy belongs to which entry?
ReHgCl

Repeat the first record exactly.
SrCuGeO2 (PBE, optimized geometry); formation energy without anion corrections = -0.90 eV/atom; final energy = -4.961 eV/atom
1.0
4.194 0.000 0.000
0.000 4.459 0.000
0.000 0.000 4.194
O Ge Cu Sr
2 1 1 1
direct
0.000 0.000 0.500
0.500 0.000 0.000
0.000 0.000 0.000
0.000 0.500 0.000
0.500 0.500 0.500

Which value of final energy does entry 4 give?
-6.114 eV/atom

What is the final energy in the first record?
-4.961 eV/atom